Run a
A plane-wave DFT calculation with PBE-GGA was carried out for an optimized crystal structure of VCrNi6.

Geometry as POSCAR:
```
VCrNi6
1.0
-3.3146 -0.7758 -0.8947
1.3669 -4.7891 -0.9110
-1.0224 -1.1851 4.8150
V Cr Ni
1 1 6
Direct
0.5000 0.3877 0.6123 V
0.0000 0.1127 0.8873 Cr
0.0000 0.6188 0.8714 Ni
0.0000 0.1286 0.3812 Ni
0.0000 0.6242 0.3758 Ni
0.5000 0.8810 0.6279 Ni
0.5000 0.3721 0.1190 Ni
0.5000 0.8749 0.1251 Ni
```

Calculated values
Space group = Amm2, No. 38

=====

Run b
A plane-wave DFT calculation with PBE-GGA was carried out for an optimized crystal structure of VCrNi6.

Geometry as POSCAR:
```
VCrNi6
1.0
-2.5302 1.8465 2.8436
-3.8180 -1.8135 0.1776
0.1733 -3.8095 5.1462
V Cr Ni
1 1 6
Direct
0.5000 0.5000 0.5000 V
0.0000 0.0000 0.0000 Cr
0.0588 0.5445 0.3026 Ni
0.5445 0.0588 0.3026 Ni
0.4555 0.9412 0.6974 Ni
0.9412 0.4555 0.6974 Ni
0.3599 0.3599 0.9341 Ni
0.6401 0.6401 0.0659 Ni
```

Calculated values
Space group = C2/m, No. 12

=====

Last place for stability: run b